(1)
The following is a GGA-PBE calculation of a geometry-optimized NaPuSn2 structure, from the Alexandria database.

a b c (Å): 5.757 5.757 3.200
angles (deg): 90.00 90.00 90.00
Space group P4/mmm (No. 123)
Unique sites:
Na (0.000, 0.000, 0.000) [1 per cell]
Pu (0.500, 0.500, 0.000) [1 per cell]
Sn (0.000, 0.500, 0.500) [2 per cell]

---

(2)
The following is a GGA-PBE calculation of a geometry-optimized NaPuSn2 structure, from the Alexandria database.

a b c (Å): 3.4053 3.4053 32.2667
angles (deg): 90.00 90.00 120.00
Space group R-3m (No. 166, hexagonal axes)
Unique sites:
Na (0.0000, 0.0000, 0.0000) [3 per cell]
Pu (0.0000, 0.0000, 0.5000) [3 per cell]
Sn (0.0000, 0.0000, 0.2506) [6 per cell]

---

(3)
The following is a GGA-PBE calculation of a geometry-optimized NaPu2Sn9 structure, from the Alexandria database.

a b c (Å): 4.610 4.610 14.127
angles (deg): 90.00 90.00 90.00
Space group P4/mmm (No. 123)
Unique sites:
Na (0.000, 0.000, 0.000) [1 per cell]
Pu (0.000, 0.000, 0.342) [2 per cell]
Sn (0.000, 0.500, 0.171) [4 per cell]
Sn (0.000, 0.500, 0.500) [2 per cell]
Sn (0.500, 0.500, 0.000) [1 per cell]
Sn (0.500, 0.500, 0.335) [2 per cell]

---

Number 1: raw total energy -24.6 eV per cell. Number 2: raw total energy -72.6 eV per cell. Number 3: raw total energy -64.7 eV per cell.